First-principles (PBE-GGA) data for BeCdTe2 after structural relaxation, as listed in Alexandria via LeMat-Bulk. Values from VASP.

Geometry as Quantum ESPRESSO input:
```
&SYSTEM
  ibrav = 0, nat = 4, ntyp = 3
/
ATOMIC_SPECIES
Be 9.01 Be.upf
Cd 112.41 Cd.upf
Te 127.60 Te.upf
ATOMIC_POSITIONS crystal
Be 0.000 0.000 0.000
Cd 0.250 0.250 0.250
Te 0.500 0.500 0.500
Te 0.750 0.750 0.750
CELL_PARAMETERS angstrom
0.000 3.645 3.645
3.645 0.000 3.645
3.645 3.645 0.000
```

Calculated values
DOS at the Fermi energy	0.501	states/eV per atom
magnetization	0.00	μB/cell
E_form (uncorrected)	0.6274	eV per atom
space group	No. 216
ΔE to the lowest computed polymorph	4.06	eV/f.u.